Record 1
Material: Pr5Th2N5
Method: DFT, PBE-GGA
State: relaxed

Results
electronic total energy = -7.63 eV/atom
density of states at the Fermi level = 9.3 states/eV/f.u.
crystal system = monoclinic
E_form (uncorrected) = -0.934 eV/atom
magnetic moment = 0.82 μB/f.u.

abc: 12.216 3.586 12.297
angles: 90.00 108.67 90.00
Space group C2/m (No. 12)
Asymmetric unit:
Pr  0.000  0.000  0.000
Pr  0.153  0.000  0.564
Pr  0.229  0.000  0.875
Th  0.038  0.500  0.289
N  0.000  0.500  0.500
N  0.117  0.500  0.923
N  0.163  0.000  0.371

***

Record 2
Material: TbCeDy2Sc4
Method: DFT, PBE-GGA
State: relaxed

Results
electronic total energy = -5.57 eV/atom
density of states at the Fermi level = 13.4 states/eV/f.u.
crystal system = monoclinic
E_form = 0.5 eV/f.u.
magnetic moment = 0.51 μB/f.u.

abc: 5.905 3.407 11.109
angles: 90.00 100.27 90.00
Space group P2/m (No. 10)
Asymmetric unit:
Tb  0.000  0.000  0.000
Ce  0.000  0.500  0.500
Dy  0.500  0.000  0.500
Dy  0.500  0.500  0.000
Sc  0.243  0.000  0.747
Sc  0.247  0.500  0.251

***

Record 3
Material: Zn2RuCl
Method: DFT, PBE-GGA
State: relaxed

Results
electronic total energy = -3.13 eV/atom
density of states at the Fermi level = 3.6 states/eV/f.u.
crystal system = tetragonal
E_form (uncorrected) = 0.290 eV/atom
magnetic moment = 1.86 μB/f.u.

abc: 2.958 2.958 7.742
angles: 90.00 90.00 90.00
Space group P4mm (No. 99)
Asymmetric unit:
Zn  0.000  0.000  0.000
Zn  0.500  0.500  0.228
Ru  0.500  0.500  0.783
Cl  0.000  0.000  0.568

***

Record 4
Material: LiSe3
Method: DFT, PBE-GGA
State: relaxed

Results
electronic total energy = -3.20 eV/atom
density of states at the Fermi level = 3.7 states/eV/f.u.
crystal system = hexagonal
E_form (uncorrected) = -0.105 eV/atom
magnetic moment = 0.00 μB/f.u.

abc: 4.2762 4.2762 6.0782
angles: 90.00 90.00 120.00
Space group P-6m2 (No. 187)
Asymmetric unit:
Li  0.0000  0.0000  0.0000
Se  0.0000  0.0000  0.5000
Se  0.6667  0.3333  0.1965